No. 1
{
  "formula": "NbAlGa2",
  "functional": "PBE-GGA",
  "state": "relaxed",
  "ef_mev_per_atom": -381,
  "total_energy_ev_per_atom": -5.348,
  "space_group": "I-4m2",
  "total_magnetization_mub_per_atom": 0.000,
  "lattice": [[-1.912, 1.912, 4.385], [1.912, -1.912, 4.385], [1.912, 1.912, -4.385]],
  "species": ["Nb", "Al", "Ga", "Ga"],
  "frac_coords": [[0.000, 0.000, 0.000], [0.750, 0.250, 0.500], [0.250, 0.750, 0.500], [0.500, 0.500, 0.000]]
}


No. 2
{
  "formula": "ZnSbPt2",
  "functional": "PBE-GGA",
  "state": "relaxed",
  "formation_energy_uncorrected_mev_per_atom": -281.6,
  "total_energy_ev_per_atom": -4.651,
  "space_group": "P4/mmm",
  "total_magnetization_mub_per_atom": 0.000,
  "lattice": [[3.234, 0.000, 0.000], [0.000, 3.234, 0.000], [0.000, 0.000, 6.600]],
  "species": ["Zn", "Sb", "Pt", "Pt"],
  "frac_coords": [[0.000, 0.000, 0.000], [0.000, 0.000, 0.500], [0.500, 0.500, 0.219], [0.500, 0.500, 0.781]]
}


No. 3
{
  "formula": "Pd2Au13",
  "functional": "PBE-GGA",
  "state": "relaxed",
  "ef_mev_per_atom": 242,
  "total_energy_ev_per_atom": -3.291,
  "space_group": "R-3m",
  "total_magnetization_mub_per_atom": 0.000,
  "relative_energy_ev_per_atom": 0.2795,
  "lattice": [[3.819, 2.205, 6.883], [-3.819, 2.205, 6.883], [0.000, -4.410, 6.883]],
  "species": ["Pd", "Pd", "Au", "Au", "Au", "Au", "Au", "Au", "Au", "Au", "Au", "Au", "Au", "Au", "Au"],
  "frac_coords": [[0.229, 0.229, 0.229], [0.771, 0.771, 0.771], [0.000, 0.000, 0.000], [0.015, 0.015, 0.643], [0.015, 0.643, 0.015], [0.230, 0.230, 0.589], [0.230, 0.589, 0.230], [0.357, 0.985, 0.985], [0.411, 0.770, 0.770], [0.589, 0.230, 0.230], [0.643, 0.015, 0.015], [0.770, 0.411, 0.770], [0.770, 0.770, 0.411], [0.985, 0.357, 0.985], [0.985, 0.985, 0.357]]
}


No. 4
{
  "formula": "Pu5ScSe6",
  "functional": "PBE-GGA",
  "state": "relaxed",
  "formation_energy_uncorrected_mev_per_atom": -1530.8,
  "total_energy_ev_per_atom": -9.772,
  "space_group": "C2/m",
  "total_magnetization_mub_per_atom": 2.417,
  "lattice": [[3.558, -6.154, 0.000], [3.558, 6.154, 0.000], [-2.374, 0.000, 6.701]],
  "species": ["Pu", "Pu", "Pu", "Pu", "Pu", "Sc", "Se", "Se", "Se", "Se", "Se", "Se"],
  "frac_coords": [[0.000, 0.000, 0.000], [0.166, 0.834, 0.500], [0.330, 0.670, 0.000], [0.670, 0.330, 0.000], [0.834, 0.166, 0.500], [0.500, 0.500, 0.500], [0.096, 0.420, 0.258], [0.259, 0.259, 0.747], [0.420, 0.096, 0.258], [0.580, 0.904, 0.742], [0.741, 0.741, 0.253], [0.904, 0.580, 0.742]]
}